(1)
Li2Bi2Pd | the Alexandria database | PBE-GGA | optimized geometry; DFT formation energy = -367.8 meV per atom; calculated total energy = -18.6 eV per formula unit; symmetry = Ibam; relative energy among the computed polymorphs = 0.00 kcal/mol of atoms; calculated volume = 22.2 A^3/atom
1.0
-3.0222 6.2532 2.9365
3.0222 -6.2532 2.9365
3.0222 6.2532 -2.9365
Li Bi Pd
4 4 2
Cartesian
1.0379 1.1130 0.0000
1.0379 -1.1130 2.9365
1.9843 7.3661 0.0000
1.9843 5.1402 2.9365
4.1692 2.1131 0.0000
1.1470 4.1401 0.0000
1.8753 2.1131 2.9365
-1.1470 4.1401 2.9365
3.0222 0.0000 1.4682
0.0000 6.2532 1.4682

***

(2)
AgRh2 | the Alexandria database | PBE-GGA | optimized geometry; DFT formation energy = 290.0 meV per atom; calculated total energy = -16.7 eV per formula unit; symmetry = Cmcm; relative energy among the computed polymorphs = 3.00 kcal/mol of atoms; calculated volume = 15.3 A^3/atom
1.0
1.9680 -5.9477 0.0000
1.9680 5.9477 0.0000
0.0000 0.0000 3.9239
Ag Rh
2 4
Cartesian
1.9680 4.9713 2.9429
1.9680 -4.9713 0.9810
1.9680 2.9884 0.9810
1.9680 1.0748 2.9429
1.9680 -1.0748 0.9810
1.9680 -2.9884 2.9429

***

(3)
Pr3YBi2 | the Alexandria database | PBE-GGA | optimized geometry; DFT formation energy = -660.0 meV per atom; calculated total energy = -32.5 eV per formula unit; symmetry = P-4m2; calculated volume = 32.9 A^3/atom
1.0
4.6827 0.0000 0.0000
0.0000 4.6827 0.0000
0.0000 0.0000 9.0091
Pr Y Bi
3 1 2
Cartesian
0.0000 0.0000 0.0000
0.0000 2.3413 5.8389
2.3413 0.0000 3.1702
2.3413 2.3413 0.0000
0.0000 2.3413 2.4972
2.3413 0.0000 6.5120

***

(4)
HfZrGeI2 | the Alexandria database | PBE-GGA | optimized geometry; calculated total energy = -22.1 eV per formula unit; symmetry = P4/mmm; energy relative to the elements, uncorrected = 4.13 eV per formula unit; calculated volume = 33.7 A^3/atom
1.0
5.5207 0.0000 0.0000
0.0000 5.5207 0.0000
0.0000 0.0000 5.5335
Hf Zr Ge I
1 1 1 2
Cartesian
0.0000 0.0000 0.0000
0.0000 0.0000 2.7667
2.7603 2.7603 0.0000
0.0000 2.7603 2.7667
2.7603 0.0000 2.7667

***

(5)
TlGa4Sn2 | the Alexandria database | PBE-GGA | optimized geometry; DFT formation energy = 41.7 meV per atom; calculated total energy = -22.2 eV per formula unit; symmetry = C2/c; relative energy among the computed polymorphs = 0.00 kcal/mol of atoms; calculated volume = 23.7 A^3/atom
1.0
8.3716 -3.2921 0.0000
8.3716 3.2921 0.0000
-0.3771 0.0000 6.0166
Tl Ga Sn
2 8 4
Cartesian
8.0888 1.8023 4.5124
8.2774 -1.8023 1.5041
2.5534 0.2448 2.9413
6.9531 1.5057 1.4281
2.3648 -0.2448 5.9496
9.6016 1.5057 1.5802
6.7646 -1.5057 4.4364
14.0013 0.2448 0.0670
9.4130 -1.5057 4.5885
13.8128 -0.2448 3.0753
4.9545 0.6882 4.9043
5.1431 -0.6882 1.8960
11.2231 0.6882 4.1206
11.4117 -0.6882 1.1123

***

(6)
MgAlAs | the Alexandria database | PBE-GGA | optimized geometry; DFT formation energy = -176.7 meV per atom; calculated total energy = -10.5 eV per formula unit; symmetry = P4/nmm; calculated volume = 19.4 A^3/atom
1.0
3.8559 0.0000 0.0000
0.0000 3.8559 0.0000
0.0000 0.0000 7.8470
Mg Al As
2 2 2
Cartesian
0.9640 0.9640 1.1216
2.8919 2.8919 6.7254
0.9640 2.8919 3.9235
2.8919 0.9640 3.9235
0.9640 0.9640 6.1943
2.8919 2.8919 1.6527

***

(7)
RbMg2Sb2 | the Alexandria database | PBE-GGA | optimized geometry; calculated total energy = -13.8 eV per formula unit; symmetry = P4/mbm; relative energy among the computed polymorphs = 3.63 kcal/mol of atoms; energy relative to the elements, uncorrected = -1.41 eV per formula unit; calculated volume = 28.1 A^3/atom
1.0
9.0238 0.0000 0.0000
0.0000 9.0238 0.0000
0.0000 0.0000 3.4469
Rb Mg Sb
2 4 4
Cartesian
0.0000 0.0000 0.0000
4.5119 4.5119 0.0000
1.1267 3.3852 0.0000
3.3852 7.8971 0.0000
5.6386 1.1267 0.0000
7.8971 5.6386 0.0000
1.4853 5.9972 1.7234
3.0266 1.4853 1.7234
5.9972 7.5385 1.7234
7.5385 3.0266 1.7234

***

(8)
K2Cd5InAg2 | the Alexandria database | PBE-GGA | optimized geometry; DFT formation energy = -17.1 meV per atom; calculated total energy = -15.4 eV per formula unit; symmetry = P4/mbm; calculated volume = 27.1 A^3/atom
1.0
11.9126 0.0000 0.0000
0.0000 11.9126 0.0000
0.0000 0.0000 3.8247
K Cd In Ag
4 10 2 4
Cartesian
2.1116 3.8447 0.0000
3.8447 9.8010 0.0000
8.0679 2.1116 0.0000
9.8010 8.0679 0.0000
0.0000 5.9563 1.9123
0.6983 9.5261 1.9123
2.3865 0.6983 1.9123
3.5698 6.6546 1.9123
5.2580 3.5698 1.9123
5.9563 0.0000 1.9123
6.6546 8.3428 1.9123
8.3428 5.2580 1.9123
9.5261 11.2143 1.9123
11.2143 2.3865 1.9123
0.0000 0.0000 0.0000
5.9563 5.9563 0.0000
1.4958 7.4521 0.0000
4.4605 1.4958 0.0000
7.4521 10.4168 0.0000
10.4168 4.4605 0.0000

***

> What is the calculated total energy in the fourth record?

-22.1 eV per formula unit